No. 1
Density functional theory data (PBE) for crystalline Th3Hg at its relaxed geometry.

Computed properties:
- Electronic total energy: -5.558 eV per atom
- SG: No. 225

a = 7.8285 Å, b = 7.8285 Å, c = 7.8285 Å
α = 90.00°, β = 90.00°, γ = 90.00°
Fractional positions:
Th1 0.0000 0.0000 0.0000
Th2 0.0000 0.5000 0.5000
Th3 0.2500 0.2500 0.2500
Th4 0.2500 0.2500 0.7500
Th5 0.2500 0.7500 0.2500
Th6 0.2500 0.7500 0.7500
Th7 0.5000 0.0000 0.5000
Th8 0.5000 0.5000 0.0000
Th9 0.7500 0.2500 0.2500
Th10 0.7500 0.2500 0.7500
Th11 0.7500 0.7500 0.2500
Th12 0.7500 0.7500 0.7500
Hg1 0.0000 0.0000 0.5000
Hg2 0.0000 0.5000 0.0000
Hg3 0.5000 0.0000 0.0000
Hg4 0.5000 0.5000 0.5000

No. 2
Density functional theory data (PBE) for crystalline Th2Hg at its relaxed geometry.

Computed properties:
- Electronic total energy: -5.180 eV per atom
- SG: No. 140

a = 7.7775 Å, b = 7.7775 Å, c = 5.9091 Å
α = 90.00°, β = 90.00°, γ = 90.00°
Fractional positions:
Th1 0.1537 0.3463 0.0000
Th2 0.1537 0.6537 0.5000
Th3 0.3463 0.1537 0.5000
Th4 0.3463 0.8463 0.0000
Th5 0.6537 0.1537 0.0000
Th6 0.6537 0.8463 0.5000
Th7 0.8463 0.3463 0.5000
Th8 0.8463 0.6537 0.0000
Hg1 0.0000 0.0000 0.2500
Hg2 0.0000 0.0000 0.7500
Hg3 0.5000 0.5000 0.2500
Hg4 0.5000 0.5000 0.7500